NaV | PBE | optimized geometry

- energy above the most stable polymorph in this dataset (eV per formula unit) = 0.77
- mass density (kg/m3) = 3431
- formation energy (eV/atom) = 0.87

Cell lengths 2.4232, 2.8497, 5.8263 Å; angles 85.36, 79.08, 64.92 degrees
With the nearest neighbours (Å) after each atom.
Positions (direct):
Na 0.0000 0.0000 0.0000  2 Na 2.42
V 0.7420 0.5033 0.4999  2 V 2.42